(1)
## TeBrCl (GGA-PBE)

Data for TeBrCl after structural relaxation.

Lattice parameters (Å, degrees): 7.4308 7.4308 7.4308 153.57 153.57 37.72
Positions (direct):
Te: 0.0000 0.0000 0.0000
Br: 0.6448 0.6448 0.0000
Cl: 0.3625 0.3625 0.0000

Values from the calculation:
- calculated total energy (eV/atom) = -1.997
- M_tot (μB per cell) = 0.00
- E_form (uncorrected) (kJ/mol of atoms) = 21.54
- distance to the lowest polymorph of the same formula (kcal/mol of atoms) = 13.66
- calculated density (Mg/m³) = 4.97


(2)
## ErInTeSe (GGA-PBE)

Data for ErInTeSe after structural relaxation.

Lattice parameters (Å, degrees): 8.5075 8.5075 8.5075 28.80 28.80 28.80
Positions (direct):
Er: 0.0000 0.0000 0.0000
In: 0.1713 0.1713 0.1713
Te: 0.4119 0.4119 0.4119
Se: 0.6080 0.6080 0.6080

Values from the calculation:
- calculated total energy (eV/atom) = -4.590
- M_tot (μB per cell) = 0.00
- E_form (uncorrected) (kJ/mol of atoms) = -106.92
- calculated density (Mg/m³) = 6.42